The following is a DFT calculation (PBE-GGA) of a geometry-optimized BaSiGe structure.

## Properties
**Energy above the most stable polymorph in this dataset**: 0.00 eV per formula unit
**E_form (uncorrected)**: -403.1 meV per atom

Cell and atoms, written as CIF:
```
data_BaSiGe
_chemical_formula_sum 'Ba4 Si4 Ge4'
_cell_length_a 6.891
_cell_length_b 6.891
_cell_length_c 6.891
_cell_angle_alpha 90.00
_cell_angle_beta 90.00
_cell_angle_gamma 90.00
_symmetry_space_group_name_H-M 'P 21 3'
_symmetry_Int_Tables_number 198
_symmetry_space_group_name_Hall 'P 2ac 2ab 3'
loop_
_atom_site_label
_atom_site_type_symbol
_atom_site_fract_x
_atom_site_fract_y
_atom_site_fract_z
Ba1 Ba 0.130 0.130 0.130
Si1 Si 0.077 0.577 0.923
Ge1 Ge 0.171 0.329 0.671
```



The following is a DFT calculation (PBE-GGA) of a geometry-optimized Ba2SiGe2 structure.

## Properties
**Energy above the most stable polymorph in this dataset**: 0.00 eV per formula unit
**E_form (uncorrected)**: -452.5 meV per atom

Cell and atoms, written as CIF:
```
data_Ba2SiGe2
_chemical_formula_sum 'Ba8 Si4 Ge8'
_cell_length_a 12.260
_cell_length_b 4.609
_cell_length_c 11.403
_cell_angle_alpha 90.00
_cell_angle_beta 108.83
_cell_angle_gamma 90.00
_symmetry_space_group_name_H-M 'C 1 2/m 1'
_symmetry_Int_Tables_number 12
loop_
_symmetry_equiv_pos_as_xyz
'x,y,z'
'-x,-y,-z'
'-x,y,-z'
'x,-y,z'
'x+1/2,y+1/2,z'
'-x+1/2,-y+1/2,-z'
'-x+1/2,y+1/2,-z'
'x+1/2,-y+1/2,z'
loop_
_atom_site_label
_atom_site_type_symbol
_atom_site_fract_x
_atom_site_fract_y
_atom_site_fract_z
Ba1 Ba 0.092 0.000 0.405
Ba2 Ba 0.204 0.500 0.141
Si1 Si 0.073 0.500 0.824
Ge1 Ge 0.031 0.000 0.903
Ge2 Ge 0.131 0.500 0.643
```



The following is a DFT calculation (PBE-GGA) of a geometry-optimized BaSr2SiGe structure.

## Properties
**E_form (uncorrected)**: 82.3 meV per atom

Cell and atoms, written as CIF:
```
data_BaSr2SiGe
_chemical_formula_sum 'Ba1 Sr2 Si1 Ge1'
_cell_length_a 6.043
_cell_length_b 6.043
_cell_length_c 5.213
_cell_angle_alpha 90.00
_cell_angle_beta 90.00
_cell_angle_gamma 90.00
_symmetry_space_group_name_H-M 'P 4/m m m'
_symmetry_Int_Tables_number 123
_symmetry_space_group_name_Hall '-P 4 2'
loop_
_atom_site_label
_atom_site_type_symbol
_atom_site_fract_x
_atom_site_fract_y
_atom_site_fract_z
Ba1 Ba 0.000 0.000 0.000
Sr1 Sr 0.000 0.500 0.500
Si1 Si 0.500 0.500 0.000
Ge1 Ge 0.500 0.500 0.500
```



The following is a DFT calculation (PBE-GGA) of a geometry-optimized Ba2Zn4Si3Ge structure.

## Properties
**E_form (uncorrected)**: -287.4 meV per atom

Cell and atoms, written as CIF:
```
data_Ba2Zn4Si3Ge
_chemical_formula_sum 'Ba2 Zn4 Si3 Ge1'
_cell_length_a 4.460
_cell_length_b 4.460
_cell_length_c 10.710
_cell_angle_alpha 90.00
_cell_angle_beta 90.00
_cell_angle_gamma 90.00
_symmetry_space_group_name_H-M 'P -4 m 2'
_symmetry_Int_Tables_number 115
loop_
_symmetry_equiv_pos_as_xyz
'x,y,z'
'y,-x,-z'
'-x,-y,z'
'-y,x,-z'
'-x,y,z'
'-y,-x,-z'
'x,-y,z'
'y,x,-z'
loop_
_atom_site_label
_atom_site_type_symbol
_atom_site_fract_x
_atom_site_fract_y
_atom_site_fract_z
Ba1 Ba 0.000 0.500 0.246
Zn1 Zn 0.000 0.000 0.000
Zn2 Zn 0.000 0.500 0.632
Zn3 Zn 0.500 0.500 0.000
Si1 Si 0.000 0.500 0.872
Si2 Si 0.500 0.500 0.500
Ge1 Ge 0.000 0.000 0.500
```



The following is a DFT calculation (PBE-GGA) of a geometry-optimized Ba2ZrSiGe structure.

## Properties
**E_form (uncorrected)**: 749.0 meV per atom

Cell and atoms, written as CIF:
```
data_Ba2ZrSiGe
_chemical_formula_sum 'Ba2 Zr1 Si1 Ge1'
_cell_length_a 6.185
_cell_length_b 6.185
_cell_length_c 5.151
_cell_angle_alpha 90.00
_cell_angle_beta 90.00
_cell_angle_gamma 90.00
_symmetry_space_group_name_H-M 'P 4/m m m'
_symmetry_Int_Tables_number 123
_symmetry_space_group_name_Hall '-P 4 2'
loop_
_atom_site_label
_atom_site_type_symbol
_atom_site_fract_x
_atom_site_fract_y
_atom_site_fract_z
Ba1 Ba 0.000 0.500 0.000
Zr1 Zr 0.000 0.000 0.000
Si1 Si 0.500 0.500 0.500
Ge1 Ge 0.000 0.000 0.500
```



The following is a DFT calculation (PBE-GGA) of a geometry-optimized Ba2SmGeTe5 structure.

## Properties
**E_form (uncorrected)**: -1218.1 meV per atom

Cell and atoms, written as CIF:
```
data_Ba2SmGeTe5
_chemical_formula_sum 'Ba8 Sm4 Ge4 Te20'
_cell_length_a 4.768
_cell_length_b 20.486
_cell_length_c 13.826
_cell_angle_alpha 90.00
_cell_angle_beta 90.00
_cell_angle_gamma 90.00
_symmetry_space_group_name_H-M 'C m c 21'
_symmetry_Int_Tables_number 36
loop_
_symmetry_equiv_pos_as_xyz
'x,y,z'
'-x,-y,z+1/2'
'-x,y,z'
'x,-y,z+1/2'
'x+1/2,y+1/2,z'
'-x+1/2,-y+1/2,z+1/2'
'-x+1/2,y+1/2,z'
'x+1/2,-y+1/2,z+1/2'
loop_
_atom_site_label
_atom_site_type_symbol
_atom_site_fract_x
_atom_site_fract_y
_atom_site_fract_z
Ba1 Ba 0.000 0.119 0.000
Ba2 Ba 0.000 0.122 0.635
Sm1 Sm 0.000 0.207 0.338
Ge1 Ge 0.000 0.440 0.755
Te1 Te 0.000 0.047 0.353
Te2 Te 0.000 0.295 0.985
Te3 Te 0.000 0.315 0.682
Te4 Te 0.000 0.355 0.319
Te5 Te 0.000 0.499 0.583
```



The following is a DFT calculation (PBE-GGA) of a geometry-optimized BaSm2Zn2Ge2 structure.

## Properties
**Formation energy from the elements**: -389 meV/atom

Cell and atoms, written as CIF:
```
data_BaSm2Zn2Ge2
_chemical_formula_sum 'Ba3 Sm6 Zn6 Ge6'
_cell_length_a 4.2816
_cell_length_b 4.2816
_cell_length_c 36.2237
_cell_angle_alpha 90.00
_cell_angle_beta 90.00
_cell_angle_gamma 120.00
_symmetry_space_group_name_H-M 'R -3 m'
_symmetry_Int_Tables_number 166
_symmetry_space_group_name_Hall '-R 3 2"'
loop_
_atom_site_label
_atom_site_type_symbol
_atom_site_fract_x
_atom_site_fract_y
_atom_site_fract_z
Ba1 Ba 0.0000 0.0000 0.0000
Sm1 Sm 0.0000 0.0000 0.1256
Zn1 Zn 0.0000 0.0000 0.4071
Ge1 Ge 0.0000 0.0000 0.2629
```



The following is a DFT calculation (PBE-GGA) of a geometry-optimized BaSmZn2Ge2 structure.

## Properties
**Formation energy from the elements**: -569 meV/atom

Cell and atoms, written as CIF:
```
data_BaSmZn2Ge2
_chemical_formula_sum 'Ba1 Sm1 Zn2 Ge2'
_cell_length_a 4.3267
_cell_length_b 4.3267
_cell_length_c 9.1108
_cell_angle_alpha 90.00
_cell_angle_beta 90.00
_cell_angle_gamma 120.00
_symmetry_space_group_name_H-M 'P -3 m 1'
_symmetry_Int_Tables_number 164
_symmetry_space_group_name_Hall '-P 3 2"'
loop_
_atom_site_label
_atom_site_type_symbol
_atom_site_fract_x
_atom_site_fract_y
_atom_site_fract_z
Ba1 Ba 0.0000 0.0000 0.0000
Sm1 Sm 0.0000 0.0000 0.5000
Zn1 Zn 0.3333 0.6667 0.7142
Ge1 Ge 0.3333 0.6667 0.2795
```



The following is a DFT calculation (PBE-GGA) of a geometry-optimized Ba3Sn4Ge structure.

## Properties
**Formation energy from the elements**: -360 meV/atom

Cell and atoms, written as CIF:
```
data_Ba3Sn4Ge
_chemical_formula_sum 'Ba6 Sn8 Ge2'
_cell_length_a 5.401
_cell_length_b 6.515
_cell_length_c 18.115
_cell_angle_alpha 90.00
_cell_angle_beta 90.00
_cell_angle_gamma 90.00
_symmetry_space_group_name_H-M 'I m m m'
_symmetry_Int_Tables_number 71
_symmetry_space_group_name_Hall '-I 2 2'
loop_
_atom_site_label
_atom_site_type_symbol
_atom_site_fract_x
_atom_site_fract_y
_atom_site_fract_z
Ba1 Ba 0.000 0.000 0.000
Ba2 Ba 0.000 0.500 0.195
Sn1 Sn 0.000 0.280 0.382
Ge1 Ge 0.000 0.000 0.500
```



The following is a DFT calculation (PBE-GGA) of a geometry-optimized Ba2SnGe structure.

## Properties
**Formation energy from the elements**: -445 meV/atom

Cell and atoms, written as CIF:
```
data_Ba2SnGe
_chemical_formula_sum 'Ba2 Sn1 Ge1'
_cell_length_a 3.810
_cell_length_b 3.810
_cell_length_c 9.614
_cell_angle_alpha 90.00
_cell_angle_beta 90.00
_cell_angle_gamma 90.00
_symmetry_space_group_name_H-M 'P 4/m m m'
_symmetry_Int_Tables_number 123
_symmetry_space_group_name_Hall '-P 4 2'
loop_
_atom_site_label
_atom_site_type_symbol
_atom_site_fract_x
_atom_site_fract_y
_atom_site_fract_z
Ba1 Ba 0.000 0.000 0.234
Sn1 Sn 0.500 0.500 0.500
Ge1 Ge 0.500 0.500 0.000
```



The following is a DFT calculation (PBE-GGA) of a geometry-optimized BaSnGe structure.

## Properties
**Formation energy from the elements**: -552 meV/atom

Cell and atoms, written as CIF:
```
data_BaSnGe
_chemical_formula_sum 'Ba1 Sn1 Ge1'
_cell_length_a 4.5173
_cell_length_b 4.5173
_cell_length_c 5.5363
_cell_angle_alpha 90.00
_cell_angle_beta 90.00
_cell_angle_gamma 120.00
_symmetry_space_group_name_H-M 'P 3 m 1'
_symmetry_Int_Tables_number 156
loop_
_symmetry_equiv_pos_as_xyz
'x,y,z'
'-y,x-y,z'
'-x+y,-x,z'
'-y,-x,z'
'-x+y,y,z'
'x,x-y,z'
loop_
_atom_site_label
_atom_site_type_symbol
_atom_site_fract_x
_atom_site_fract_y
_atom_site_fract_z
Ba1 Ba 0.0000 0.0000 0.0000
Sn1 Sn 0.6667 0.3333 0.5605
Ge1 Ge 0.3333 0.6667 0.3660
```



The following is a DFT calculation (PBE-GGA) of a geometry-optimized BaSn3Ge structure.

## Properties
**Energy above the most stable polymorph in this dataset**: 0.00 eV per formula unit
**Formation energy from the elements**: -308 meV/atom

Cell and atoms, written as CIF:
```
data_BaSn3Ge
_chemical_formula_sum 'Ba1 Sn3 Ge1'
_cell_length_a 5.229
_cell_length_b 5.237
_cell_length_c 6.551
_cell_angle_alpha 70.95
_cell_angle_beta 69.07
_cell_angle_gamma 89.59
_symmetry_space_group_name_H-M 'P 1'
_symmetry_Int_Tables_number 1
loop_
_symmetry_equiv_pos_as_xyz
'x,y,z'
loop_
_atom_site_label
_atom_site_type_symbol
_atom_site_fract_x
_atom_site_fract_y
_atom_site_fract_z
Ba1 Ba 0.000 0.000 0.000
Sn1 Sn 0.252 0.726 0.498
Sn2 Sn 0.616 0.621 0.784
Sn3 Sn 0.737 0.252 0.498
Ge1 Ge 0.338 0.321 0.282
```



no.,ρ (g cm⁻³)
1,4.8
2,4.9
3,3.6
4,5.4
5,3.9
6,5.6
7,6.2
8,6.3
9,5.0
10,5.5
11,5.6
12,6.0